[1]
A plane-wave DFT calculation with GGA-PBE was carried out for a geometry-optimized Ta2Cd structure.

a b c (Å): 4.799 4.799 5.647
angles (deg): 90.00 90.00 120.00
Fractional positions:
1 Ta 0.000 0.000 0.000
2 Ta 0.000 0.000 0.500
3 Ta 0.333 0.667 0.250
4 Ta 0.667 0.333 0.750
5 Cd 0.333 0.667 0.750
6 Cd 0.667 0.333 0.250

As for the energy of formation from the pure elements: 0.40 eV per atom. As for the symmetry: No. 194. The calculation puts the total magnetization at 0.000 Bohr magnetons per cell. The density of states at the Fermi level is 0.576 states/eV per atom.

[2]
A plane-wave DFT calculation with GGA-PBE was carried out for a geometry-optimized Na2SnGeTe4 structure.

a b c (Å): 7.352 4.265 8.075
angles (deg): 90.00 107.58 90.00
Fractional positions:
1 Na 0.000 0.000 0.000
2 Na 0.500 0.500 0.000
3 Sn 0.000 0.500 0.500
4 Ge 0.500 0.000 0.500
5 Te 0.248 0.000 0.725
6 Te 0.264 0.500 0.278
7 Te 0.736 0.500 0.722
8 Te 0.752 0.000 0.275

As for the symmetry: No. 10. The calculation puts the total magnetization at 0.000 Bohr magnetons per cell. For the energy relative to the elements, uncorrected, the calculation gives -3.4 eV per formula unit. The density of states at the Fermi level is 0.420 states/eV per atom.

[3]
A plane-wave DFT calculation with GGA-PBE was carried out for a geometry-optimized TlCdOs2 structure.

a b c (Å): 9.977 9.977 9.977
angles (deg): 16.96 16.96 16.96
Fractional positions:
1 Tl 0.000 0.000 0.000
2 Cd 0.765 0.765 0.765
3 Os 0.247 0.247 0.247
4 Os 0.514 0.514 0.514

As for the energy of formation from the pure elements: 0.60 eV per atom. As for the symmetry: No. 160. The calculation puts the total magnetization at 0.000 Bohr magnetons per cell. The density of states at the Fermi level is 0.997 states/eV per atom.

[4]
A plane-wave DFT calculation with GGA-PBE was carried out for a geometry-optimized Cs3PbO structure.

a b c (Å): 7.233 7.233 7.233
angles (deg): 90.00 90.00 90.00
Fractional positions:
1 Cs 0.000 0.000 0.500
2 Cs 0.000 0.500 0.000
3 Cs 0.500 0.000 0.000
4 Pb 0.000 0.000 0.000
5 O 0.500 0.500 0.500

As for the symmetry: No. 221. The calculation puts the total magnetization at 0.000 Bohr magnetons per cell. For the energy relative to the elements, uncorrected, the calculation gives 1.7 eV per formula unit. The density of states at the Fermi level is 4.596 states/eV per atom.